1.
First-principles (PBE) data for a geometry-optimized Ba4Al3Zn2 structure, as listed in Alexandria via LeMat-Bulk.

Lattice parameters (Å, degrees): 17.6494 4.3527 8.0145 90.00 106.26 90.00
Closest atoms and distances in Å follow each position.
Space group C2/m (No. 12)
Unique sites:
Ba: 0.0774 0.0000 0.3875 (multiplicity 4)  2 Zn 3.44-3.48, 6 Al 3.59-3.72, 1 Ba 3.67
Ba: 0.2424 0.5000 0.2016 (multiplicity 4)  3 Zn 3.57-3.59, 3 Al 3.64-3.74, 3 Ba 3.89-3.97
Al: 0.0000 0.5000 0.0000 (multiplicity 2)  2 Al 2.73, 4 Zn 2.75
Al: 0.0893 0.5000 0.7709 (multiplicity 4)  2 Zn 2.66, 1 Al 2.73
Zn: 0.0887 0.0000 0.9614 (multiplicity 4)  4 Al 2.66-2.75

Calculated values
**Fermi-level density of states**: 14.66 states/eV/cell
**Calculated formation energy**: -1.4 eV per formula unit

2.
First-principles (PBE) data for a geometry-optimized CaPuTlPd structure, as listed in Alexandria via LeMat-Bulk.

Lattice parameters (Å, degrees): 7.4072 7.4072 7.4072 90.00 90.00 90.00
Closest atoms and distances in Å follow each position.
Space group F-43m (No. 216)
Unique sites:
Ca: 0.0000 0.0000 0.0000 (multiplicity 4)  4 Tl 3.21, 4 Pd 3.21
Pu: 0.0000 0.0000 0.5000 (multiplicity 4)  4 Tl 3.21, 4 Pd 3.21
Tl: 0.2500 0.2500 0.2500 (multiplicity 4)  4 Ca 3.21, 4 Pu 3.21
Pd: 0.2500 0.2500 0.7500 (multiplicity 4)  4 Ca 3.21, 4 Pu 3.21

Calculated values
**Fermi-level density of states**: 50.51 states/eV/cell
**Calculated formation energy**: -1.0 eV per formula unit